Crystalline V12Cr6W at its relaxed geometry, computed with PBE.

Unit cell a=8.8239 b=8.8239 c=11.4786 alpha=90.00 beta=90.00 gamma=120.00
Space group R-3 (No. 148, hexagonal axes)
Unique sites:
V  0.0550  0.1896  0.3032
V  0.0652  0.8369  0.9167
Cr  0.0210  0.4359  0.2052
W  0.0000  0.0000  0.5000

Results
DFT formation energy = 0.190 eV/atom
size of the total moment = 0.000 μB/cell


Crystalline V5Cr6W at its relaxed geometry, computed with PBE.

Unit cell a=4.1450 b=5.8725 c=6.5683 alpha=90.00 beta=108.32 gamma=90.00
Space group P2/m (No. 10)
Unique sites:
V  0.0000  0.0000  0.0000
V  0.3318  0.5000  0.6634
V  0.3332  0.0000  0.6662
Cr  0.1683  0.2481  0.3365
Cr  0.5000  0.2456  0.0000
W  0.0000  0.5000  0.0000

Results
DFT formation energy = -0.084 eV/atom
size of the total moment = 0.000 μB/cell